No. 1
The following is a DFT calculation (PBEsol) of an optimized crystal structure of Sb2RuSe2.

```
data_Sb2RuSe2
_cell_length_a 5.577
_cell_length_b 5.654
_cell_length_c 5.577
_cell_angle_alpha 60.45
_cell_angle_beta 90.00
_cell_angle_gamma 119.55
_space_group_name_H-M_alt 'P 1'
_space_group_IT_number 1
loop_
_space_group_symop_operation_xyz
'x,y,z'
loop_
_atom_site_label
_atom_site_fract_x
_atom_site_fract_y
_atom_site_fract_z
Sb1 0.316 0.633 0.684
Sb2 0.684 0.367 0.316
Se1 0.250 0.500 0.250
Se2 0.750 0.500 0.750
Ru1 0.000 0.000 0.000
```

Raw formation energy ... 0.7050 eV per atom
V ... 126.0 Å³/cell
Energy ... -0.3449 Ry/atom

---

No. 2
The following is a DFT calculation (PBEsol) of an optimized crystal structure of SbRu2Se.

```
data_SbRu2Se
_cell_length_a 2.995
_cell_length_b 2.995
_cell_length_c 8.056
_cell_angle_alpha 90.00
_cell_angle_beta 90.00
_cell_angle_gamma 90.00
_space_group_name_H-M_alt 'P 1'
_space_group_IT_number 1
loop_
_space_group_symop_operation_xyz
'x,y,z'
loop_
_atom_site_label
_atom_site_fract_x
_atom_site_fract_y
_atom_site_fract_z
Ru1 0.000 0.000 0.000
Ru2 0.500 0.500 0.230
Sb1 0.000 0.000 0.437
Se1 0.500 0.500 0.833
```

Raw formation energy ... 0.0660 eV per atom
V ... 72.2 Å³/cell
Energy ... -0.5235 Ry/atom
Energy above the most stable polymorph in this dataset ... 0.000 eV per atom

---

No. 3
The following is a DFT calculation (PBEsol) of an optimized crystal structure of SiSbRu.

```
data_SiSbRu
_cell_length_a 4.242
_cell_length_b 4.242
_cell_length_c 4.242
_cell_angle_alpha 60.00
_cell_angle_beta 60.00
_cell_angle_gamma 60.00
_space_group_name_H-M_alt 'P 1'
_space_group_IT_number 1
loop_
_space_group_symop_operation_xyz
'x,y,z'
loop_
_atom_site_label
_atom_site_fract_x
_atom_site_fract_y
_atom_site_fract_z
Si1 0.750 0.750 0.750
Sb1 0.500 0.500 0.500
Ru1 0.000 0.000 0.000
```

Raw formation energy ... 0.4695 eV per atom
V ... 54.0 Å³/cell
Energy ... -0.4672 Ry/atom

---

No. 4
The following is a DFT calculation (PBEsol) of an optimized crystal structure of Si2SbRu2.

```
data_Si2SbRu2
_cell_length_a 3.575
_cell_length_b 3.575
_cell_length_c 6.549
_cell_angle_alpha 105.84
_cell_angle_beta 105.84
_cell_angle_gamma 90.00
_space_group_name_H-M_alt 'P 1'
_space_group_IT_number 1
loop_
_space_group_symop_operation_xyz
'x,y,z'
loop_
_atom_site_label
_atom_site_fract_x
_atom_site_fract_y
_atom_site_fract_z
Ru1 0.382 0.382 0.763
Ru2 0.618 0.618 0.237
Sb1 0.000 0.000 0.000
Si1 0.250 0.750 0.500
Si2 0.750 0.250 0.500
```

Raw formation energy ... -0.3735 eV per atom
V ... 77.2 Å³/cell
Energy ... -0.5625 Ry/atom

---

No. 5
The following is a DFT calculation (PBEsol) of an optimized crystal structure of SiSbRu3.

```
data_SiSbRu3
_cell_length_a 4.356
_cell_length_b 4.356
_cell_length_c 4.356
_cell_angle_alpha 90.00
_cell_angle_beta 90.00
_cell_angle_gamma 90.00
_space_group_name_H-M_alt 'P 1'
_space_group_IT_number 1
loop_
_space_group_symop_operation_xyz
'x,y,z'
loop_
_atom_site_label
_atom_site_fract_x
_atom_site_fract_y
_atom_site_fract_z
Si1 0.000 0.000 0.000
Ru1 0.000 0.000 0.500
Ru2 0.500 0.000 0.000
Ru3 0.000 0.500 0.000
Sb1 0.500 0.500 0.500
```

Raw formation energy ... 0.6008 eV per atom
V ... 82.7 Å³/cell
Energy ... -0.5559 Ry/atom

---

No. 6
The following is a DFT calculation (PBEsol) of an optimized crystal structure of SnSb3Ru.

```
data_SnSb3Ru
_cell_length_a 5.431
_cell_length_b 5.431
_cell_length_c 5.431
_cell_angle_alpha 90.00
_cell_angle_beta 90.00
_cell_angle_gamma 90.00
_space_group_name_H-M_alt 'P 1'
_space_group_IT_number 1
loop_
_space_group_symop_operation_xyz
'x,y,z'
loop_
_atom_site_label
_atom_site_fract_x
_atom_site_fract_y
_atom_site_fract_z
Sb1 0.500 0.000 0.000
Sb2 0.000 0.000 0.500
Sb3 0.000 0.500 0.000
Sn1 0.000 0.000 0.000
Ru1 0.500 0.500 0.500
```

Raw formation energy ... 1.7322 eV per atom
V ... 160.2 Å³/cell
Energy ... -0.2858 Ry/atom